Density functional theory data (PBE) for Zn2OsW after structural relaxation.

abc: 2.703 2.703 8.912
angles: 90.00 90.00 113.74
Atoms (fractional coordinates):
Zn 0.000 0.000 0.244
Zn 0.000 0.000 0.756
Os 0.500 0.500 0.000
W 0.500 0.500 0.500

Calculated values
Total moment in μB per formula unit: 0.00
Polymorph energy (0 for the lowest one) in meV per atom: 258
DOS at the Fermi energy in states/eV per atom: 0.959
Crystal system: orthorhombic
Electronic total energy in eV per atom: -6.33
Formation enthalpy at 0 K in eV per atom: 0.36

***

Density functional theory data (PBE) for Zn3OsW after structural relaxation.

abc: 4.684 4.684 4.684
angles: 90.00 90.00 90.00
Atoms (fractional coordinates):
Zn 0.000 0.000 0.500
Zn 0.000 0.500 0.000
Zn 0.500 0.000 0.000
Os 0.000 0.000 0.000
W 0.500 0.500 0.500

Calculated values
Total moment in μB per formula unit: 3.78
Polymorph energy (0 for the lowest one) in meV per atom: 0
DOS at the Fermi energy in states/eV per atom: 1.116
Crystal system: cubic
Electronic total energy in eV per atom: -4.00
Formation enthalpy at 0 K in eV per atom: 1.60